This record from Alexandria describes crystalline Ga2Pb2Cl at its relaxed geometry. The functional is PBE-GGA.

Computed properties:
The formation energy without anion corrections comes out at -0.2227 eV per atom. Its symmetry is I4/mmm. The theoretical density comes out at 7.48 g/cm³. As for the total magnetic moment: 0.0 μB/f.u. The final energy comes out at -3.29 eV/atom.

abc: 3.785 3.785 9.514
angles: 78.53 78.53 90.00
Atoms (fractional coordinates):
1 Pb 0.388 0.388 0.224
2 Pb 0.612 0.612 0.776
3 Ga 0.750 0.250 0.500
4 Ga 0.250 0.750 0.500
5 Cl 0.000 0.000 0.000

***

This record from Alexandria describes crystalline NaTb2ThS4 at its relaxed geometry. The functional is PBE-GGA.

Computed properties:
The formation energy without anion corrections comes out at -1.8516 eV per atom. Its symmetry is P2/m. The theoretical density comes out at 6.53 g/cm³. As for the total magnetic moment: 0.0 μB/f.u. The final energy comes out at -6.17 eV/atom.

abc: 3.940 6.897 6.931
angles: 71.29 90.00 90.00
Atoms (fractional coordinates):
1 Na 0.000 0.500 0.500
2 Tb 0.000 0.000 0.000
3 Tb 0.500 0.000 0.500
4 Th 0.500 0.500 0.000
5 S 0.000 0.757 0.742
6 S 0.000 0.243 0.258
7 S 0.500 0.758 0.247
8 S 0.500 0.242 0.753

***

This record from Alexandria describes crystalline TlHgPb2Au at its relaxed geometry. The functional is PBE-GGA.

Computed properties:
Its symmetry is P2_1/m. The theoretical density comes out at 11.93 g/cm³. As for the total magnetic moment: 0.0 μB/f.u. The final energy comes out at -2.68 eV/atom. The energy of formation from the pure elements comes out at -0.004 eV per atom.

abc: 4.401 5.964 10.784
angles: 91.52 90.00 90.00
Atoms (fractional coordinates):
1 Tl 0.250 0.856 0.212
2 Tl 0.750 0.144 0.788
3 Hg 0.250 0.973 0.597
4 Hg 0.750 0.027 0.403
5 Pb 0.750 0.579 0.606
6 Pb 0.250 0.421 0.394
7 Pb 0.750 0.381 0.128
8 Pb 0.250 0.619 0.872
9 Au 0.250 0.162 0.986
10 Au 0.750 0.838 0.014

***

This record from Alexandria describes crystalline LaScSn2 at its relaxed geometry. The functional is PBE-GGA.

Computed properties:
Its symmetry is P4/mmm. The theoretical density comes out at 6.57 g/cm³. As for the total magnetic moment: 0.0 μB/f.u. The final energy comes out at -5.41 eV/atom. The energy of formation from the pure elements comes out at -0.591 eV per atom.

abc: 4.565 4.829 4.829
angles: 90.00 90.00 90.00
Atoms (fractional coordinates):
1 Sc 0.500 0.500 0.500
2 Sn 0.000 0.000 0.500
3 Sn 0.000 0.500 0.000
4 La 0.500 0.000 0.000